(1)
Computed, not measured: a relaxed structure of HoThGe2 at the PBE level of DFT.

Cell: 4.395 4.395 6.995 Å, 71.69 71.69 60.00°
Fractional positions:
1 Ho 0.495 0.495 0.516
2 Th 0.671 0.671 0.988
3 Ge 0.091 0.091 0.728
4 Ge 0.244 0.244 0.268

ρ = 8.26 g/cm³
Energy relative to the elements = -0.60 eV per atom
Magnetization = 0.000 μB per atom
Space-group type = R3m, No. 160

***

(2)
Computed, not measured: a relaxed structure of HoThZnGe at the PBE level of DFT.

Cell: 5.113 5.113 5.113 Å, 60.00 60.00 60.00°
Fractional positions:
1 Zn 0.000 0.000 0.000
2 Ge 0.500 0.500 0.500
3 Ho 0.250 0.250 0.250
4 Th 0.750 0.750 0.750

ρ = 9.40 g/cm³
Energy relative to the elements = -0.42 eV per atom
Magnetization = 0.000 μB per atom
Space-group type = F-43m, No. 216

***

(3)
Computed, not measured: a relaxed structure of HoTi2Ge2 at the PBE level of DFT.

Cell: 6.790 6.790 5.570 Å, 110.27 110.27 100.64°
Last column: magnetic moment on the atom in μB.
Fractional positions:
1 Ho 0.886 0.614 0.750  0.01
2 Ho 0.114 0.386 0.250  0.01
3 Ti 0.230 0.943 0.523  0.45
4 Ti 0.443 0.730 0.023  0.45
5 Ti 0.770 0.057 0.477  0.45
6 Ti 0.557 0.270 0.977  0.45
7 Ge 0.173 0.327 0.750  -0.02
8 Ge 0.387 0.113 0.250  -0.02
9 Ge 0.613 0.887 0.750  -0.02
10 Ge 0.827 0.673 0.250  -0.02

ρ = 6.36 g/cm³
Energy relative to the elements = -0.35 eV per atom
Magnetization = 0.217 μB per atom
Space-group type = C2/c, No. 15

***

(4)
Computed, not measured: a relaxed structure of HoTiGe2 at the PBE level of DFT.

Cell: 4.179 4.179 5.917 Å, 69.32 69.32 60.00°
Fractional positions:
1 Ge 0.767 0.767 0.700
2 Ge 0.233 0.233 0.300
3 Ho 0.000 0.000 0.000
4 Ti 0.500 0.500 0.500

ρ = 7.28 g/cm³
Energy relative to the elements = -0.59 eV per atom
Magnetization = 0.000 μB per atom
Space-group type = R-3m, No. 166

***

(5)
Computed, not measured: a relaxed structure of Ho5Tl2Ge at the PBE level of DFT.

Cell: 9.039 6.908 6.613 Å, 121.43 133.06 90.08°
Fractional positions:
1 Ho 0.728 0.222 0.947
2 Ho 0.219 0.222 0.946
3 Ho 0.716 0.719 0.941
4 Ho 0.226 0.720 0.942
5 Ho 0.723 0.716 0.445
6 Tl 0.222 0.734 0.444
7 Tl 0.722 0.224 0.444
8 Ge 0.222 0.219 0.444

ρ = 10.28 g/cm³
Energy relative to the elements = -0.26 eV per atom
Magnetization = 0.000 μB per atom
Offset from the most stable computed form = 0.171 eV/atom
Space-group type = Imm2, No. 44

***

(6)
Computed, not measured: a relaxed structure of Ho5Tl2Ge at the PBE level of DFT.

Cell: 4.902 7.061 12.597 Å, 90.00 90.00 90.00°
Fractional positions:
1 Ho 0.000 0.000 0.500
2 Ho 0.000 0.500 0.000
3 Ho 0.000 0.859 0.219
4 Ho 0.000 0.141 0.781
5 Ho 0.000 0.641 0.719
6 Ho 0.000 0.359 0.281
7 Ho 0.500 0.671 0.412
8 Ho 0.500 0.329 0.588
9 Ho 0.500 0.829 0.912
10 Ho 0.500 0.171 0.088
11 Tl 0.500 0.599 0.161
12 Tl 0.500 0.401 0.839
13 Tl 0.500 0.901 0.661
14 Tl 0.500 0.099 0.339
15 Ge 0.000 0.500 0.500
16 Ge 0.000 0.000 0.000

ρ = 9.95 g/cm³
Energy relative to the elements = -0.43 eV per atom
Magnetization = 0.000 μB per atom
Offset from the most stable computed form = 0.000 eV/atom
Space-group type = Pbam, No. 55

***

(7)
Computed, not measured: a relaxed structure of HoTlGe4 at the PBE level of DFT.

Cell: 5.673 5.673 5.673 Å, 60.00 60.00 60.00°
Fractional positions:
1 Tl 0.250 0.250 0.250
2 Ge 0.626 0.626 0.122
3 Ge 0.626 0.122 0.626
4 Ge 0.626 0.626 0.626
5 Ge 0.122 0.626 0.626
6 Ho 0.000 0.000 0.000

ρ = 8.49 g/cm³
Energy relative to the elements = -0.11 eV per atom
Magnetization = 0.000 μB per atom
Space-group type = F-43m, No. 216

***

(8)
Computed, not measured: a relaxed structure of Ho5TlGe2 at the PBE level of DFT.

Cell: 7.803 7.803 8.801 Å, 116.31 116.31 90.00°
Fractional positions:
1 Ho 0.518 0.699 0.718
2 Ho 0.801 0.982 0.282
3 Ho 0.000 0.000 0.000
4 Ho 0.500 0.500 0.000
5 Ho 0.199 0.018 0.718
6 Ho 0.699 0.199 0.718
7 Ho 0.018 0.518 0.718
8 Ho 0.301 0.801 0.282
9 Ho 0.982 0.482 0.282
10 Ho 0.482 0.301 0.282
11 Tl 0.750 0.750 0.500
12 Tl 0.250 0.250 0.500
13 Ge 0.144 0.356 0.000
14 Ge 0.644 0.144 0.000
15 Ge 0.356 0.856 0.000
16 Ge 0.856 0.644 0.000

ρ = 9.34 g/cm³
Energy relative to the elements = -0.63 eV per atom
Magnetization = 0.034 μB per atom
Space-group type = I4/mcm, No. 140

***

(9)
Computed, not measured: a relaxed structure of Ho8Tl2Ge at the PBE level of DFT.

Cell: 5.061 6.711 9.835 Å, 102.89 104.91 90.00°
Fractional positions:
1 Ho 0.411 0.545 0.823
2 Ho 0.651 0.987 0.302
3 Ho 0.789 0.682 0.578
4 Ho 0.979 0.229 0.959
5 Ho 0.211 0.318 0.422
6 Ho 0.349 0.013 0.698
7 Ho 0.589 0.455 0.177
8 Ho 0.021 0.771 0.041
9 Tl 0.816 0.244 0.633
10 Tl 0.184 0.756 0.367
11 Ge 0.500 0.000 0.000

ρ = 9.52 g/cm³
Energy relative to the elements = -0.25 eV per atom
Magnetization = 0.000 μB per atom
Space-group type = C2/m, No. 12

***

(10)
Computed, not measured: a relaxed structure of HoTl2Ge at the PBE level of DFT.

Cell: 3.488 3.488 11.138 Å, 80.99 80.99 60.00°
Fractional positions:
1 Tl 0.095 0.095 0.716
2 Tl 0.905 0.905 0.284
3 Ge 0.500 0.500 0.500
4 Ho 0.000 0.000 0.000

ρ = 9.30 g/cm³
Energy relative to the elements = 0.22 eV per atom
Magnetization = 0.000 μB per atom
Space-group type = R-3m, No. 166

***

(11)
Computed, not measured: a relaxed structure of Ho2TlGe at the PBE level of DFT.

Cell: 3.379 3.379 8.593 Å, 90.00 90.00 90.00°
Fractional positions:
1 Tl 0.500 0.500 0.500
2 Ge 0.500 0.500 0.000
3 Ho 0.000 0.000 0.778
4 Ho 0.000 0.000 0.222

ρ = 10.27 g/cm³
Energy relative to the elements = -0.47 eV per atom
Magnetization = 0.018 μB per atom
Space-group type = P4/mmm, No. 123

***

(12)
Computed, not measured: a relaxed structure of Ho2TlGe at the PBE level of DFT.

Cell: 4.117 4.888 4.888 Å, 90.00 90.00 90.00°
Fractional positions:
1 Tl 0.500 0.000 0.000
2 Ge 0.500 0.500 0.500
3 Ho 0.000 0.000 0.500
4 Ho 0.000 0.500 0.000

ρ = 10.25 g/cm³
Energy relative to the elements = -0.45 eV per atom
Magnetization = 0.000 μB per atom
Space-group type = P4/mmm, No. 123

***

(13)
Computed, not measured: a relaxed structure of Ho2TlGe at the PBE level of DFT.

Cell: 3.947 3.947 8.503 Å, 76.58 76.58 60.00°
Fractional positions:
1 Tl 0.500 0.500 0.500
2 Ge 0.000 0.000 0.000
3 Ho 0.737 0.737 0.790
4 Ho 0.263 0.263 0.210

ρ = 9.12 g/cm³
Energy relative to the elements = -0.47 eV per atom
Magnetization = 0.000 μB per atom
Space-group type = R-3m, No. 166

***

(14)
Computed, not measured: a relaxed structure of HoTlGe2 at the PBE level of DFT.

Cell: 4.158 4.632 4.632 Å, 90.00 90.00 90.00°
Fractional positions:
1 Tl 0.500 0.500 0.500
2 Ge 0.000 0.000 0.500
3 Ge 0.000 0.500 0.000
4 Ho 0.500 0.000 0.000

ρ = 9.58 g/cm³
Energy relative to the elements = -0.28 eV per atom
Magnetization = 0.000 μB per atom
Space-group type = P4/mmm, No. 123

***

(15)
Computed, not measured: a relaxed structure of Ho2Tm2Ge3 at the PBE level of DFT.

Cell: 4.170 7.117 7.535 Å, 105.03 90.01 107.02°
Fractional positions:
1 Ho 0.627 0.253 0.903
2 Ho 0.373 0.747 0.097
3 Tm 0.844 0.688 0.660
4 Tm 0.156 0.312 0.340
5 Ge 0.000 0.000 0.000
6 Ge 0.781 0.562 0.267
7 Ge 0.219 0.438 0.733

ρ = 7.15 g/cm³
Energy relative to the elements = -0.59 eV per atom
Magnetization = 0.000 μB per atom
Space-group type = C2/m, No. 12

***

(16)
Computed, not measured: a relaxed structure of Ho2TmGe2 at the PBE level of DFT.

Cell: 4.345 6.446 9.597 Å, 77.90 76.92 70.30°
Fractional positions:
1 Ho 0.317 0.279 0.086
2 Ho 0.483 0.348 0.687
3 Ho 0.683 0.721 0.914
4 Ho 0.517 0.652 0.313
5 Tm 0.782 0.077 0.358
6 Tm 0.218 0.923 0.642
7 Ge 0.971 0.166 0.892
8 Ge 0.120 0.327 0.434
9 Ge 0.029 0.834 0.108
10 Ge 0.880 0.673 0.566

ρ = 8.77 g/cm³
Energy relative to the elements = -0.68 eV per atom
Magnetization = 0.000 μB per atom
Space-group type = C2/m, No. 12

***

(17)
Computed, not measured: a relaxed structure of Ho2Tm5Ge4 at the PBE level of DFT.

Cell: 3.423 6.834 12.690 Å, 88.75 97.75 90.00°
Fractional positions:
1 Ho 0.907 0.699 0.814
2 Ho 0.093 0.301 0.186
3 Tm 0.133 0.807 0.266
4 Tm 0.867 0.193 0.734
5 Tm 0.237 0.236 0.474
6 Tm 0.500 0.000 0.000
7 Tm 0.763 0.764 0.526
8 Ge 0.675 0.497 0.349
9 Ge 0.025 0.660 0.051
10 Ge 0.325 0.503 0.651
11 Ge 0.975 0.340 0.949

ρ = 8.27 g/cm³
Energy relative to the elements = -0.34 eV per atom
Magnetization = 0.000 μB per atom
Space-group type = C2/m, No. 12

***

(18)
Computed, not measured: a relaxed structure of HoTm5Ge4 at the PBE level of DFT.

Cell: 4.871 6.839 10.446 Å, 130.94 103.48 90.00°
Fractional positions:
1 Ho 0.500 0.000 0.000
2 Tm 0.165 0.324 0.330
3 Tm 0.165 0.837 0.330
4 Tm 0.835 0.163 0.670
5 Tm 0.500 0.500 0.000
6 Tm 0.835 0.676 0.670
7 Ge 0.680 0.109 0.359
8 Ge 0.011 0.274 0.022
9 Ge 0.320 0.891 0.641
10 Ge 0.989 0.726 0.978

ρ = 8.63 g/cm³
Energy relative to the elements = -0.62 eV per atom
Magnetization = 0.000 μB per atom
Space-group type = C2/m, No. 12

***

(19)
Computed, not measured: a relaxed structure of Ho2TmZn2Ge2 at the PBE level of DFT.

Cell: 4.106 4.106 11.196 Å, 79.43 79.43 60.00°
Fractional positions:
1 Ho 0.124 0.124 0.629
2 Ho 0.876 0.876 0.371
3 Tm 0.000 0.000 0.000
4 Zn 0.612 0.612 0.163
5 Zn 0.388 0.388 0.837
6 Ge 0.736 0.736 0.791
7 Ge 0.264 0.264 0.209

ρ = 8.05 g/cm³
Energy relative to the elements = -0.42 eV per atom
Magnetization = 0.000 μB per atom
Space-group type = R-3m, No. 166

***

(20)
Computed, not measured: a relaxed structure of HoUGe at the PBE level of DFT.

Cell: 5.067 3.216 9.154 Å, 100.12 106.07 90.00°
Last column: magnetic moment on the atom in μB.
Fractional positions:
1 Ho 0.674 0.174 0.348  -0.05
2 Ho 0.326 0.826 0.652  -0.05
3 U 0.750 0.500 0.000  1.21
4 U 0.250 0.500 0.000  1.21
5 Ge 0.155 0.655 0.311  -0.01
6 Ge 0.845 0.345 0.689  -0.01

ρ = 11.21 g/cm³
Energy relative to the elements = -0.13 eV per atom
Magnetization = 0.386 μB per atom
Space-group type = Immm, No. 71